Entry 1:
## Ca3TcH (PBE)

Data for a relaxed structure of Ca3TcH.

Summary:
Energy   -3.659 eV/atom
Energy above the most stable polymorph in this dataset   0 meV per atom

The structure in CIF format:
```
data_Ca3TcH
_cell_length_a 4.7411
_cell_length_b 4.7411
_cell_length_c 4.7411
_cell_angle_alpha 90.00
_cell_angle_beta 90.00
_cell_angle_gamma 90.00
_space_group_name_H-M_alt 'P m -3 m'
_space_group_IT_number 221
_space_group_name_Hall '-P 4 2 3'
loop_
_atom_site_label
_atom_site_fract_x
_atom_site_fract_y
_atom_site_fract_z
Ca1 0.0000 0.0000 0.5000
Tc1 0.5000 0.5000 0.5000
H1 0.0000 0.0000 0.0000
```



Entry 2:
## Cd8Ag (PBE)

Data for a relaxed structure of Cd8Ag.

Summary:
Energy   -1.115 eV/atom
DFT formation energy   16 meV/atom
Energy above the most stable polymorph in this dataset   8 meV per atom

The structure in CIF format:
```
data_Cd8Ag
_cell_length_a 11.6257
_cell_length_b 11.6257
_cell_length_c 2.9799
_cell_angle_alpha 90.00
_cell_angle_beta 90.00
_cell_angle_gamma 90.00
_space_group_name_H-M_alt 'I 4/m m m'
_space_group_IT_number 139
_space_group_name_Hall '-I 4 2'
loop_
_atom_site_label
_atom_site_fract_x
_atom_site_fract_y
_atom_site_fract_z
Cd1 0.0000 0.3341 0.0000
Cd2 0.1615 0.1615 0.5000
Ag1 0.0000 0.0000 0.0000
```



Entry 3:
## MnCrW2 (PBE)

Data for a relaxed structure of MnCrW2.

Summary:
Energy   -11.037 eV/atom
DFT formation energy   138 meV/atom
Energy above the most stable polymorph in this dataset   69 meV per atom

The structure in CIF format:
```
data_MnCrW2
_cell_length_a 5.3603
_cell_length_b 8.3725
_cell_length_c 2.6613
_cell_angle_alpha 90.00
_cell_angle_beta 109.79
_cell_angle_gamma 90.00
_space_group_name_H-M_alt 'C 1 2/m 1'
_space_group_IT_number 12
loop_
_space_group_symop_operation_xyz
'x,y,z'
'-x,-y,-z'
'-x,y,-z'
'x,-y,z'
'x+1/2,y+1/2,z'
'-x+1/2,-y+1/2,-z'
'-x+1/2,y+1/2,-z'
'x+1/2,-y+1/2,z'
loop_
_atom_site_label
_atom_site_fract_x
_atom_site_fract_y
_atom_site_fract_z
Mn1 0.0000 0.0000 0.0000
Cr1 0.0000 0.5000 0.0000
W1 0.2500 0.2500 0.5000
```



Entry 4:
## LiTaTcAs2 (PBE)

Data for a relaxed structure of LiTaTcAs2.

Summary:
Energy   -5.547 eV/atom
DFT formation energy   1139 meV/atom

The structure in CIF format:
```
data_LiTaTcAs2
_cell_length_a 4.9199
_cell_length_b 4.9199
_cell_length_c 4.9122
_cell_angle_alpha 90.00
_cell_angle_beta 90.00
_cell_angle_gamma 90.00
_space_group_name_H-M_alt 'P 4/m m m'
_space_group_IT_number 123
_space_group_name_Hall '-P 4 2'
loop_
_atom_site_label
_atom_site_fract_x
_atom_site_fract_y
_atom_site_fract_z
Li1 0.0000 0.0000 0.0000
Ta1 0.0000 0.0000 0.5000
Tc1 0.5000 0.5000 0.0000
As1 0.0000 0.5000 0.5000
```